# PBE Li8TlAu3, optimized geometry
# Energy relative to the elements, eV/atom: -0.257
# Crystal system: orthorhombic
# Space-group type: Fmmm
data_Li8TlAu3
_chemical_formula_sum 'Li8 Tl1 Au3'
_cell_length_a 7.539
_cell_length_b 7.535
_cell_length_c 6.367
_cell_angle_alpha 65.05
_cell_angle_beta 64.98
_cell_angle_gamma 49.97
_symmetry_space_group_name_H-M 'P 1'
_symmetry_Int_Tables_number 1
loop_
_symmetry_equiv_pos_as_xyz
'x,y,z'
loop_
_atom_site_label
_atom_site_type_symbol
_atom_site_fract_x
_atom_site_fract_y
_atom_site_fract_z
Li1 Li 0.107 0.632 0.893
Li2 Li 0.107 0.633 0.367
Li3 Li 0.367 0.893 0.107
Li4 Li 0.368 0.893 0.632
Li5 Li 0.632 0.107 0.368
Li6 Li 0.633 0.107 0.893
Li7 Li 0.893 0.367 0.633
Li8 Li 0.893 0.368 0.107
Tl1 Tl 0.500 0.500 0.500
Au1 Au 0.000 0.000 0.000
Au2 Au 0.250 0.250 0.250
Au3 Au 0.750 0.750 0.750

# PBE Li2Sn3Hg3, optimized geometry
# Energy relative to the elements, eV/atom: -0.121
# Crystal system: hexagonal
# Space-group type: P-62m
data_Li2Sn3Hg3
_chemical_formula_sum 'Li2 Sn3 Hg3'
_cell_length_a 8.089
_cell_length_b 8.089
_cell_length_c 3.292
_cell_angle_alpha 90.00
_cell_angle_beta 90.00
_cell_angle_gamma 120.00
_symmetry_space_group_name_H-M 'P 1'
_symmetry_Int_Tables_number 1
loop_
_symmetry_equiv_pos_as_xyz
'x,y,z'
loop_
_atom_site_label
_atom_site_type_symbol
_atom_site_fract_x
_atom_site_fract_y
_atom_site_fract_z
Li1 Li 0.333 0.667 0.000
Li2 Li 0.667 0.333 0.000
Sn1 Sn 0.000 0.231 0.000
Sn2 Sn 0.231 0.000 0.000
Sn3 Sn 0.769 0.769 0.000
Hg1 Hg 0.000 0.593 0.500
Hg2 Hg 0.407 0.407 0.500
Hg3 Hg 0.593 0.000 0.500

# PBE TlV3Cr, optimized geometry
# Energy relative to the elements, eV/atom: 0.829
# Crystal system: cubic
# Space-group type: Pm-3m
data_TlV3Cr
_chemical_formula_sum 'Tl1 V3 Cr1'
_cell_length_a 4.395
_cell_length_b 4.395
_cell_length_c 4.395
_cell_angle_alpha 90.00
_cell_angle_beta 90.00
_cell_angle_gamma 90.00
_symmetry_space_group_name_H-M 'P 1'
_symmetry_Int_Tables_number 1
loop_
_symmetry_equiv_pos_as_xyz
'x,y,z'
loop_
_atom_site_label
_atom_site_type_symbol
_atom_site_fract_x
_atom_site_fract_y
_atom_site_fract_z
Tl1 Tl 0.000 0.000 0.000
V1 V 0.000 0.500 0.500
V2 V 0.500 0.000 0.500
V3 V 0.500 0.500 0.000
Cr1 Cr 0.500 0.500 0.500

# PBE La5Tb3Nd, optimized geometry
# Energy relative to the elements, eV/atom: 0.238
# Crystal system: monoclinic
# Space-group type: C2/c
data_La5Tb3Nd
_chemical_formula_sum 'La10 Tb6 Nd2'
_cell_length_a 10.075
_cell_length_b 10.075
_cell_length_c 11.500
_cell_angle_alpha 113.45
_cell_angle_beta 113.45
_cell_angle_gamma 38.35
_symmetry_space_group_name_H-M 'P 1'
_symmetry_Int_Tables_number 1
loop_
_symmetry_equiv_pos_as_xyz
'x,y,z'
loop_
_atom_site_label
_atom_site_type_symbol
_atom_site_fract_x
_atom_site_fract_y
_atom_site_fract_z
La1 La 0.026 0.637 0.287
La2 La 0.095 0.905 0.750
La3 La 0.155 0.505 0.639
La4 La 0.363 0.974 0.213
La5 La 0.495 0.845 0.861
La6 La 0.505 0.155 0.139
La7 La 0.637 0.026 0.787
La8 La 0.845 0.495 0.361
La9 La 0.905 0.095 0.250
La10 La 0.974 0.363 0.713
Tb1 Tb 0.046 0.633 0.985
Tb2 Tb 0.367 0.954 0.515
Tb3 Tb 0.500 0.500 0.000
Tb4 Tb 0.500 0.500 0.500
Tb5 Tb 0.633 0.046 0.485
Tb6 Tb 0.954 0.367 0.015
Nd1 Nd 0.364 0.636 0.250
Nd2 Nd 0.636 0.364 0.750

# PBE PdSe3Cl, optimized geometry
# E_form (uncorrected), eV/atom: 0.064
# Crystal system: orthorhombic
# Space-group type: Cmcm
data_PdSe3Cl
_chemical_formula_sum 'Pd2 Se6 Cl2'
_cell_length_a 6.020
_cell_length_b 6.020
_cell_length_c 6.998
_cell_angle_alpha 90.00
_cell_angle_beta 90.00
_cell_angle_gamma 119.89
_symmetry_space_group_name_H-M 'P 1'
_symmetry_Int_Tables_number 1
loop_
_symmetry_equiv_pos_as_xyz
'x,y,z'
loop_
_atom_site_label
_atom_site_type_symbol
_atom_site_fract_x
_atom_site_fract_y
_atom_site_fract_z
Pd1 Pd 0.000 0.000 0.000
Pd2 Pd 0.000 0.000 0.500
Se1 Se 0.190 0.380 0.750
Se2 Se 0.190 0.810 0.750
Se3 Se 0.380 0.190 0.250
Se4 Se 0.620 0.810 0.750
Se5 Se 0.810 0.190 0.250
Se6 Se 0.810 0.620 0.250
Cl1 Cl 0.333 0.667 0.250
Cl2 Cl 0.667 0.333 0.750

# PBE ZrFe2Rh, optimized geometry
# Energy relative to the elements, eV/atom: -0.182
# Crystal system: orthorhombic
# Space-group type: Imm2
data_ZrFe2Rh
_chemical_formula_sum 'Zr1 Fe2 Rh1'
_cell_length_a 5.058
_cell_length_b 5.058
_cell_length_c 5.058
_cell_angle_alpha 142.61
_cell_angle_beta 129.80
_cell_angle_gamma 64.23
_symmetry_space_group_name_H-M 'P 1'
_symmetry_Int_Tables_number 1
loop_
_symmetry_equiv_pos_as_xyz
'x,y,z'
loop_
_atom_site_label
_atom_site_type_symbol
_atom_site_fract_x
_atom_site_fract_y
_atom_site_fract_z
Zr1 Zr 0.000 0.000 0.000
Fe1 Fe 0.511 0.511 0.000
Fe2 Fe 0.739 0.239 0.500
Rh1 Rh 0.260 0.760 0.500

# PBE PIrS2Cl, optimized geometry
# E_form (uncorrected), eV/atom: 1.808
# Crystal system: tetragonal
# Space-group type: P4/mmm
data_PIrS2Cl
_chemical_formula_sum 'P1 Ir1 S2 Cl1'
_cell_length_a 4.456
_cell_length_b 4.456
_cell_length_c 4.514
_cell_angle_alpha 90.00
_cell_angle_beta 90.00
_cell_angle_gamma 90.00
_symmetry_space_group_name_H-M 'P 1'
_symmetry_Int_Tables_number 1
loop_
_symmetry_equiv_pos_as_xyz
'x,y,z'
loop_
_atom_site_label
_atom_site_type_symbol
_atom_site_fract_x
_atom_site_fract_y
_atom_site_fract_z
P1 P 0.000 0.000 0.000
Ir1 Ir 0.500 0.500 0.000
S1 S 0.000 0.500 0.500
S2 S 0.500 0.000 0.500
Cl1 Cl 0.000 0.000 0.500

# PBE ReSb2Te, optimized geometry
# E_form (uncorrected), eV/atom: 0.325
# Crystal system: tetragonal
# Space-group type: P4mm
data_ReSb2Te
_chemical_formula_sum 'Re1 Sb2 Te1'
_cell_length_a 3.210
_cell_length_b 3.210
_cell_length_c 9.523
_cell_angle_alpha 90.00
_cell_angle_beta 90.00
_cell_angle_gamma 90.00
_symmetry_space_group_name_H-M 'P 1'
_symmetry_Int_Tables_number 1
loop_
_symmetry_equiv_pos_as_xyz
'x,y,z'
loop_
_atom_site_label
_atom_site_type_symbol
_atom_site_fract_x
_atom_site_fract_y
_atom_site_fract_z
Re1 Re 0.000 0.000 0.000
Sb1 Sb 0.000 0.000 0.485
Sb2 Sb 0.500 0.500 0.190
Te1 Te 0.500 0.500 0.833

# PBE Ca4PuU3N8, optimized geometry
# E_form (uncorrected), eV/atom: -1.282
# Crystal system: trigonal
# Space-group type: R-3m
data_Ca4PuU3N8
_chemical_formula_sum 'Ca4 Pu1 U3 N8'
_cell_length_a 6.992
_cell_length_b 6.992
_cell_length_c 6.992
_cell_angle_alpha 60.17
_cell_angle_beta 60.17
_cell_angle_gamma 60.17
_symmetry_space_group_name_H-M 'P 1'
_symmetry_Int_Tables_number 1
loop_
_symmetry_equiv_pos_as_xyz
'x,y,z'
loop_
_atom_site_label
_atom_site_type_symbol
_atom_site_fract_x
_atom_site_fract_y
_atom_site_fract_z
Ca1 Ca 0.000 0.000 0.000
Ca2 Ca 0.000 0.500 0.500
Ca3 Ca 0.500 0.000 0.500
Ca4 Ca 0.500 0.500 0.000
Pu1 Pu 0.500 0.500 0.500
U1 U 0.000 0.000 0.500
U2 U 0.000 0.500 0.000
U3 U 0.500 0.000 0.000
N1 N 0.223 0.745 0.745
N2 N 0.238 0.238 0.238
N3 N 0.255 0.255 0.777
N4 N 0.255 0.777 0.255
N5 N 0.745 0.223 0.745
N6 N 0.745 0.745 0.223
N7 N 0.762 0.762 0.762
N8 N 0.777 0.255 0.255

# PBE TlRe2Mo, optimized geometry
# Energy relative to the elements, eV/atom: 0.780
# Crystal system: tetragonal
# Space-group type: I4/mmm
data_TlRe2Mo
_chemical_formula_sum 'Tl1 Re2 Mo1'
_cell_length_a 5.007
_cell_length_b 5.007
_cell_length_c 5.007
_cell_angle_alpha 132.67
_cell_angle_beta 132.67
_cell_angle_gamma 69.18
_symmetry_space_group_name_H-M 'P 1'
_symmetry_Int_Tables_number 1
loop_
_symmetry_equiv_pos_as_xyz
'x,y,z'
loop_
_atom_site_label
_atom_site_type_symbol
_atom_site_fract_x
_atom_site_fract_y
_atom_site_fract_z
Tl1 Tl 0.000 0.000 0.000
Re1 Re 0.250 0.750 0.500
Re2 Re 0.750 0.250 0.500
Mo1 Mo 0.500 0.500 0.000

# PBE CaTeSe, optimized geometry
# E_form (uncorrected), eV/atom: -1.123
# Crystal system: monoclinic
# Space-group type: C2/m
data_CaTeSe
_chemical_formula_sum 'Ca2 Te2 Se2'
_cell_length_a 5.773
_cell_length_b 5.773
_cell_length_c 8.100
_cell_angle_alpha 99.47
_cell_angle_beta 99.47
_cell_angle_gamma 40.65
_symmetry_space_group_name_H-M 'P 1'
_symmetry_Int_Tables_number 1
loop_
_symmetry_equiv_pos_as_xyz
'x,y,z'
loop_
_atom_site_label
_atom_site_type_symbol
_atom_site_fract_x
_atom_site_fract_y
_atom_site_fract_z
Ca1 Ca 0.132 0.132 0.151
Ca2 Ca 0.868 0.868 0.849
Te1 Te 0.188 0.188 0.592
Te2 Te 0.812 0.812 0.408
Se1 Se 0.411 0.411 0.144
Se2 Se 0.589 0.589 0.856

# PBE Zn4AgF8, optimized geometry
# E_form (uncorrected), eV/atom: -1.898
# Crystal system: cubic
# Space-group type: F-43m
data_Zn4AgF8
_chemical_formula_sum 'Zn4 Ag1 F8'
_cell_length_a 6.546
_cell_length_b 6.546
_cell_length_c 6.546
_cell_angle_alpha 60.00
_cell_angle_beta 60.00
_cell_angle_gamma 60.00
_symmetry_space_group_name_H-M 'P 1'
_symmetry_Int_Tables_number 1
loop_
_symmetry_equiv_pos_as_xyz
'x,y,z'
loop_
_atom_site_label
_atom_site_type_symbol
_atom_site_fract_x
_atom_site_fract_y
_atom_site_fract_z
Zn1 Zn 0.377 0.377 0.377
Zn2 Zn 0.377 0.377 0.868
Zn3 Zn 0.377 0.868 0.377
Zn4 Zn 0.868 0.377 0.377
Ag1 Ag 0.000 0.000 0.000
F1 F 0.148 0.148 0.148
F2 F 0.148 0.148 0.557
F3 F 0.148 0.557 0.148
F4 F 0.186 0.605 0.605
F5 F 0.557 0.148 0.148
F6 F 0.605 0.186 0.605
F7 F 0.605 0.605 0.186
F8 F 0.605 0.605 0.605

# PBE AlZnSe2Br, optimized geometry
# E_form (uncorrected), eV/atom: -0.021
# Crystal system: tetragonal
# Space-group type: P4/mmm
data_AlZnSe2Br
_chemical_formula_sum 'Al1 Zn1 Se2 Br1'
_cell_length_a 4.992
_cell_length_b 4.992
_cell_length_c 4.938
_cell_angle_alpha 90.00
_cell_angle_beta 90.00
_cell_angle_gamma 90.00
_symmetry_space_group_name_H-M 'P 1'
_symmetry_Int_Tables_number 1
loop_
_symmetry_equiv_pos_as_xyz
'x,y,z'
loop_
_atom_site_label
_atom_site_type_symbol
_atom_site_fract_x
_atom_site_fract_y
_atom_site_fract_z
Al1 Al 0.000 0.000 0.000
Zn1 Zn 0.500 0.500 0.500
Se1 Se 0.000 0.500 0.000
Se2 Se 0.500 0.000 0.000
Br1 Br 0.000 0.000 0.500

# PBE Be2Se3, optimized geometry
# E_form (uncorrected), eV/atom: -0.392
# Crystal system: orthorhombic
# Space-group type: Fdd2
data_Be2Se3
_chemical_formula_sum 'Be4 Se6'
_cell_length_a 7.134
_cell_length_b 6.575
_cell_length_c 8.648
_cell_angle_alpha 53.83
_cell_angle_beta 48.07
_cell_angle_gamma 78.10
_symmetry_space_group_name_H-M 'P 1'
_symmetry_Int_Tables_number 1
loop_
_symmetry_equiv_pos_as_xyz
'x,y,z'
loop_
_atom_site_label
_atom_site_type_symbol
_atom_site_fract_x
_atom_site_fract_y
_atom_site_fract_z
Be1 Be 0.114 0.886 0.299
Be2 Be 0.549 0.951 0.364
Be3 Be 0.886 0.114 0.701
Be4 Be 0.951 0.549 0.136
Se1 Se 0.024 0.524 0.360
Se2 Se 0.158 0.890 0.726
Se3 Se 0.524 0.024 0.092
Se4 Se 0.584 0.584 0.416
Se5 Se 0.834 0.834 0.666
Se6 Se 0.890 0.158 0.226

# PBE Ti3HgPb, optimized geometry
# Energy relative to the elements, eV/atom: 0.850
# Crystal system: cubic
# Space-group type: Pm-3m
data_Ti3HgPb
_chemical_formula_sum 'Ti3 Hg1 Pb1'
_cell_length_a 5.016
_cell_length_b 5.016
_cell_length_c 5.016
_cell_angle_alpha 90.00
_cell_angle_beta 90.00
_cell_angle_gamma 90.00
_symmetry_space_group_name_H-M 'P 1'
_symmetry_Int_Tables_number 1
loop_
_symmetry_equiv_pos_as_xyz
'x,y,z'
loop_
_atom_site_label
_atom_site_type_symbol
_atom_site_fract_x
_atom_site_fract_y
_atom_site_fract_z
Ti1 Ti 0.000 0.000 0.500
Ti2 Ti 0.000 0.500 0.000
Ti3 Ti 0.500 0.000 0.000
Hg1 Hg 0.000 0.000 0.000
Pb1 Pb 0.500 0.500 0.500

# PBE KUIn2Br6, optimized geometry
# E_form (uncorrected), eV/atom: -1.131
# Crystal system: trigonal
# Space-group type: R3
data_KUIn2Br6
_chemical_formula_sum 'K1 U1 In2 Br6'
_cell_length_a 8.459
_cell_length_b 8.459
_cell_length_c 8.459
_cell_angle_alpha 58.07
_cell_angle_beta 58.07
_cell_angle_gamma 58.07
_symmetry_space_group_name_H-M 'P 1'
_symmetry_Int_Tables_number 1
loop_
_symmetry_equiv_pos_as_xyz
'x,y,z'
loop_
_atom_site_label
_atom_site_type_symbol
_atom_site_fract_x
_atom_site_fract_y
_atom_site_fract_z
K1 K 0.000 0.000 0.000
U1 U 0.509 0.509 0.509
In1 In 0.205 0.205 0.205
In2 In 0.712 0.712 0.712
Br1 Br 0.163 0.762 0.386
Br2 Br 0.317 0.610 0.867
Br3 Br 0.386 0.163 0.762
Br4 Br 0.610 0.867 0.317
Br5 Br 0.762 0.386 0.163
Br6 Br 0.867 0.317 0.610

# PBE MgHgTe, optimized geometry
# E_form (uncorrected), eV/atom: -0.406
# Crystal system: tetragonal
# Space-group type: I4mm
data_MgHgTe
_chemical_formula_sum 'Mg1 Hg1 Te1'
_cell_length_a 7.066
_cell_length_b 7.066
_cell_length_c 7.066
_cell_angle_alpha 146.72
_cell_angle_beta 146.72
_cell_angle_gamma 47.78
_symmetry_space_group_name_H-M 'P 1'
_symmetry_Int_Tables_number 1
loop_
_symmetry_equiv_pos_as_xyz
'x,y,z'
loop_
_atom_site_label
_atom_site_type_symbol
_atom_site_fract_x
_atom_site_fract_y
_atom_site_fract_z
Mg1 Mg 0.000 0.000 0.000
Hg1 Hg 0.787 0.787 0.000
Te1 Te 0.549 0.549 0.000

# PBE TbSm8Y3, optimized geometry
# Energy relative to the elements, eV/atom: 0.321
# Crystal system: orthorhombic
# Space-group type: I222
data_TbSm8Y3
_chemical_formula_sum 'Tb1 Sm8 Y3'
_cell_length_a 8.722
_cell_length_b 8.722
_cell_length_c 8.722
_cell_angle_alpha 135.51
_cell_angle_beta 99.09
_cell_angle_gamma 97.39
_symmetry_space_group_name_H-M 'P 1'
_symmetry_Int_Tables_number 1
loop_
_symmetry_equiv_pos_as_xyz
'x,y,z'
loop_
_atom_site_label
_atom_site_type_symbol
_atom_site_fract_x
_atom_site_fract_y
_atom_site_fract_z
Tb1 Tb 0.000 0.000 0.000
Sm1 Sm 0.085 0.250 0.835
Sm2 Sm 0.248 0.748 0.000
Sm3 Sm 0.252 0.252 0.499
Sm4 Sm 0.415 0.250 0.165
Sm5 Sm 0.585 0.750 0.835
Sm6 Sm 0.748 0.248 0.000
Sm7 Sm 0.752 0.752 0.501
Sm8 Sm 0.915 0.750 0.165
Y1 Y 0.251 0.751 0.500
Y2 Y 0.500 0.500 0.000
Y3 Y 0.749 0.249 0.500

# PBE Er8In2Sb, optimized geometry
# E_form (uncorrected), eV/atom: -0.206
# Crystal system: monoclinic
# Space-group type: C2/m
data_Er8In2Sb
_chemical_formula_sum 'Er8 In2 Sb1'
_cell_length_a 8.440
_cell_length_b 8.440
_cell_length_c 5.630
_cell_angle_alpha 102.26
_cell_angle_beta 102.26
_cell_angle_gamma 118.25
_symmetry_space_group_name_H-M 'P 1'
_symmetry_Int_Tables_number 1
loop_
_symmetry_equiv_pos_as_xyz
'x,y,z'
loop_
_atom_site_label
_atom_site_type_symbol
_atom_site_fract_x
_atom_site_fract_y
_atom_site_fract_z
Er1 Er 0.094 0.323 0.623
Er2 Er 0.217 0.783 0.000
Er3 Er 0.323 0.094 0.623
Er4 Er 0.400 0.400 0.202
Er5 Er 0.600 0.600 0.798
Er6 Er 0.677 0.906 0.377
Er7 Er 0.783 0.217 0.000
Er8 Er 0.906 0.677 0.377
In1 In 0.305 0.695 0.500
In2 In 0.695 0.305 0.500
Sb1 Sb 0.000 0.000 0.000

# PBE Tl2As2Cl, optimized geometry
# E_form (uncorrected), eV/atom: -0.306
# Crystal system: tetragonal
# Space-group type: I4/mmm
data_Tl2As2Cl
_chemical_formula_sum 'Tl2 As2 Cl1'
_cell_length_a 10.084
_cell_length_b 10.084
_cell_length_c 10.084
_cell_angle_alpha 158.38
_cell_angle_beta 158.38
_cell_angle_gamma 30.76
_symmetry_space_group_name_H-M 'P 1'
_symmetry_Int_Tables_number 1
loop_
_symmetry_equiv_pos_as_xyz
'x,y,z'
loop_
_atom_site_label
_atom_site_type_symbol
_atom_site_fract_x
_atom_site_fract_y
_atom_site_fract_z
Tl1 Tl 0.101 0.101 0.000
Tl2 Tl 0.899 0.899 0.000
As1 As 0.250 0.750 0.500
As2 As 0.750 0.250 0.500
Cl1 Cl 0.500 0.500 0.000

Number 1: VASP energy -2.5496 eV/atom. Number 2: VASP energy -2.2135 eV/atom. Number 3: VASP energy -7.0402 eV/atom. Number 4: VASP energy -4.5731 eV/atom. Number 5: VASP energy -3.4348 eV/atom. Number 6: VASP energy -8.3884 eV/atom. Number 7: VASP energy -3.0669 eV/atom. Number 8: VASP energy -5.6335 eV/atom. Number 9: VASP energy -8.9574 eV/atom. Number 10: VASP energy -8.7436 eV/atom. Number 11: VASP energy -3.9987 eV/atom. Number 12: VASP energy -3.6606 eV/atom. Number 13: VASP energy -2.7524 eV/atom. Number 14: VASP energy -3.9736 eV/atom. Number 15: VASP energy -4.6888 eV/atom. Number 16: VASP energy -3.9210 eV/atom. Number 17: VASP energy -2.0850 eV/atom. Number 18: VASP energy -4.8269 eV/atom. Number 19: VASP energy -4.3974 eV/atom. Number 20: VASP energy -3.4814 eV/atom.